1.
# LiCaBi2 PBE optimized geometry
# Energy of formation from the pure elements (eV per atom): -0.56
data_LiCaBi2
_space_group_name_H-M_alt 'P 4/m m m'
_space_group_IT_number 123
_space_group_name_Hall '-P 4 2'
_cell_length_a 4.995
_cell_length_b 4.995
_cell_length_c 4.477
_cell_angle_alpha 90.00
_cell_angle_beta 90.00
_cell_angle_gamma 90.00
loop_
_atom_site_label
_atom_site_type_symbol
_atom_site_fract_x
_atom_site_fract_y
_atom_site_fract_z
Li1 Li 0.000 0.000 0.000
Ca1 Ca 0.500 0.500 0.000
Bi1 Bi 0.000 0.500 0.500

2.
# Li4CaBi PBE optimized geometry
# Energy of formation from the pure elements (eV per atom): -0.23
data_Li4CaBi
_space_group_name_H-M_alt 'F -4 3 m'
_space_group_IT_number 216
_space_group_name_Hall 'F -4 2 3'
_cell_length_a 8.185
_cell_length_b 8.185
_cell_length_c 8.185
_cell_angle_alpha 90.00
_cell_angle_beta 90.00
_cell_angle_gamma 90.00
loop_
_atom_site_label
_atom_site_type_symbol
_atom_site_fract_x
_atom_site_fract_y
_atom_site_fract_z
Li1 Li 0.125 0.125 0.125
Ca1 Ca 0.250 0.250 0.750
Bi1 Bi 0.000 0.000 0.500

3.
# LiCaBi3 PBE optimized geometry
# Energy of formation from the pure elements (eV per atom): -0.18
data_LiCaBi3
_space_group_name_H-M_alt 'P m -3 m'
_space_group_IT_number 221
_space_group_name_Hall '-P 4 2 3'
_cell_length_a 5.301
_cell_length_b 5.301
_cell_length_c 5.301
_cell_angle_alpha 90.00
_cell_angle_beta 90.00
_cell_angle_gamma 90.00
loop_
_atom_site_label
_atom_site_type_symbol
_atom_site_fract_x
_atom_site_fract_y
_atom_site_fract_z
Li1 Li 0.000 0.000 0.000
Ca1 Ca 0.500 0.500 0.500
Bi1 Bi 0.000 0.000 0.500

energy of formation from the pure elements of number 2 (Li4CaBi)? -0.23 eV per atom